Density functional theory data (GGA-PBEsol) for a geometry-optimized LaCr2Sb structure.

Calculated values
Total DFT energy (no corrections) (eV per formula unit): -29.08
Formation energy (no corrections) (eV per atom): 0.33
Size of the total moment (μB per cell): 5.13
DOS at the Fermi energy (states/eV per cell): 3.29

a = 3.7705 Å, b = 4.5110 Å, c = 4.5110 Å
α = 90.00°, β = 90.00°, γ = 90.00°
Atoms (fractional coordinates):
Cr (0.0000, 0.0000, 0.5000)
La (0.5000, 0.5000, 0.5000)
Sb (0.5000, 0.0000, 0.0000)
Cr (0.0000, 0.5000, 0.0000)